This record from the Alexandria database describes CaAl2Pt after structural relaxation. The functional is PBE-GGA.

Unit cell a=5.2909 b=5.2909 c=3.0114 alpha=90.00 beta=90.00 gamma=116.02
Atoms (fractional coordinates):
Ca (0.0000, 0.0000, 0.0000)
Al (0.0000, 0.5000, 0.5000)
Al (0.5000, 0.0000, 0.5000)
Pt (0.5000, 0.5000, 0.0000)

Output
Formation enthalpy at 0 K   -0.24 eV/atom
Fermi-level density of states   1.8 states/eV/cell
SG   Cmmm (65)

This record from the Alexandria database describes Ca2AlPt after structural relaxation. The functional is PBE-GGA.

Unit cell a=7.6508 b=7.6508 c=7.6508 alpha=32.83 beta=32.83 gamma=32.83
Atoms (fractional coordinates):
Ca (0.0000, 0.0000, 0.0000)
Ca (0.1769, 0.1769, 0.1769)
Al (0.7555, 0.7555, 0.7555)
Pt (0.4213, 0.4213, 0.4213)

Output
Formation enthalpy at 0 K   -0.69 eV/atom
Fermi-level density of states   2.7 states/eV/cell
SG   R3m (160)

This record from the Alexandria database describes CaAl2Pt after structural relaxation. The functional is PBE-GGA.

Unit cell a=3.3083 b=3.3083 c=7.1141 alpha=90.00 beta=90.00 gamma=90.00
Atoms (fractional coordinates):
Ca (0.0000, 0.0000, 0.0000)
Al (0.0000, 0.0000, 0.4569)
Al (0.5000, 0.5000, 0.6835)
Pt (0.5000, 0.5000, 0.3031)

Output
Formation enthalpy at 0 K   -0.57 eV/atom
Fermi-level density of states   2.1 states/eV/cell
SG   P4mm (99)

This record from the Alexandria database describes CaAl2Pt after structural relaxation. The functional is PBE-GGA.

Unit cell a=4.6176 b=4.6176 c=4.6176 alpha=60.00 beta=60.00 gamma=60.00
Atoms (fractional coordinates):
Ca (0.0000, 0.0000, 0.0000)
Al (0.2500, 0.2500, 0.2500)
Al (0.7500, 0.7500, 0.7500)
Pt (0.5000, 0.5000, 0.5000)

Output
Formation enthalpy at 0 K   -0.55 eV/atom
Fermi-level density of states   0.9 states/eV/cell
SG   Fm-3m (225)

This record from the Alexandria database describes CaAl2Pt after structural relaxation. The functional is PBE-GGA.

Unit cell a=4.1006 b=4.1006 c=4.4417 alpha=90.00 beta=90.00 gamma=90.00
Atoms (fractional coordinates):
Ca (0.0000, 0.0000, 0.0000)
Al (0.0000, 0.5000, 0.5000)
Al (0.5000, 0.0000, 0.5000)
Pt (0.5000, 0.5000, 0.0000)

Output
Formation enthalpy at 0 K   -0.45 eV/atom
Fermi-level density of states   1.6 states/eV/cell
SG   P4/mmm (123)

This record from the Alexandria database describes CaAlPt2 after structural relaxation. The functional is PBE-GGA.

Unit cell a=4.6691 b=4.6691 c=4.6691 alpha=60.00 beta=60.00 gamma=60.00
Atoms (fractional coordinates):
Ca (0.0000, 0.0000, 0.0000)
Al (0.7500, 0.7500, 0.7500)
Pt (0.2500, 0.2500, 0.2500)
Pt (0.5000, 0.5000, 0.5000)

Output
Formation enthalpy at 0 K   -0.48 eV/atom
Fermi-level density of states   2.1 states/eV/cell
SG   F-43m (216)

This record from the Alexandria database describes Ca3Al8Pt3 after structural relaxation. The functional is PBE-GGA.

Unit cell a=8.2159 b=8.2159 c=9.0729 alpha=122.87 beta=122.87 gamma=31.46
Atoms (fractional coordinates):
Ca (0.0000, 0.0000, 0.0000)
Ca (0.2856, 0.2856, 0.2935)
Ca (0.7144, 0.7144, 0.7065)
Al (0.1337, 0.1337, 0.4238)
Al (0.1469, 0.1469, 0.8551)
Al (0.3473, 0.3473, 0.7201)
Al (0.4946, 0.4946, 0.3283)
Al (0.5054, 0.5054, 0.6716)
Al (0.6527, 0.6527, 0.2799)
Al (0.8531, 0.8531, 0.1449)
Al (0.8663, 0.8663, 0.5762)
Pt (0.0000, 0.0000, 0.5000)
Pt (0.3451, 0.3451, 0.9991)
Pt (0.6549, 0.6549, 0.0009)

Output
Formation enthalpy at 0 K   -0.73 eV/atom
Fermi-level density of states   3.9 states/eV/cell
SG   C2/m (12)

This record from the Alexandria database describes CaAl2Pt after structural relaxation. The functional is PBE-GGA.

Unit cell a=15.4460 b=7.2433 c=5.6817 alpha=90.00 beta=90.00 gamma=90.00
Atoms (fractional coordinates):
Ca (0.1029, 0.2500, 0.2288)
Ca (0.1339, 0.7500, 0.0252)
Ca (0.3661, 0.2500, 0.5252)
Ca (0.3971, 0.7500, 0.7288)
Ca (0.6029, 0.2500, 0.2712)
Ca (0.6339, 0.7500, 0.4748)
Ca (0.8661, 0.2500, 0.9748)
Ca (0.8971, 0.7500, 0.7712)
Al (0.0435, 0.0603, 0.7162)
Al (0.0435, 0.4397, 0.7162)
Al (0.2116, 0.5541, 0.5362)
Al (0.2116, 0.9459, 0.5362)
Al (0.2884, 0.0541, 0.0362)
Al (0.2884, 0.4459, 0.0362)
Al (0.4565, 0.5603, 0.2162)
Al (0.4565, 0.9397, 0.2162)
Al (0.5435, 0.0603, 0.7838)
Al (0.5435, 0.4397, 0.7838)
Al (0.7116, 0.5541, 0.9638)
Al (0.7116, 0.9459, 0.9638)
Al (0.7884, 0.0541, 0.4638)
Al (0.7884, 0.4459, 0.4638)
Al (0.9565, 0.5603, 0.2838)
Al (0.9565, 0.9397, 0.2838)
Pt (0.0714, 0.7500, 0.5154)
Pt (0.1876, 0.2500, 0.7623)
Pt (0.3124, 0.7500, 0.2623)
Pt (0.4286, 0.2500, 0.0154)
Pt (0.5714, 0.7500, 0.9846)
Pt (0.6876, 0.2500, 0.7377)
Pt (0.8124, 0.7500, 0.2377)
Pt (0.9286, 0.2500, 0.4846)

Output
Formation enthalpy at 0 K   -0.85 eV/atom
Fermi-level density of states   12.2 states/eV/cell
SG   Pnma (62)